# MnIn2Si, optimized geometry, DFT PBEsol
data_MnIn2Si
_cell_length_a 6.771
_cell_length_b 6.771
_cell_length_c 6.771
_cell_angle_alpha 90.00
_cell_angle_beta 90.00
_cell_angle_gamma 90.00
_space_group_name_H-M_alt 'F m -3 m'
_space_group_IT_number 225
_space_group_name_Hall '-F 4 2 3'
loop_
_atom_site_label
_atom_site_fract_x
_atom_site_fract_y
_atom_site_fract_z
_atom_site_occupancy
Mn1 0.000 0.000 0.000 1
In1 0.250 0.250 0.250 1
Si1 0.000 0.000 0.500 1
# Distance to the lowest polymorph of the same formula = 99 meV per atom
# Uncorrected formation energy = 528 meV/atom

=====

# Mg3Cd, optimized geometry, DFT PBEsol
data_Mg3Cd
_cell_length_a 4.379
_cell_length_b 4.379
_cell_length_c 8.946
_cell_angle_alpha 90.00
_cell_angle_beta 90.00
_cell_angle_gamma 90.00
_space_group_name_H-M_alt 'I 4/m m m'
_space_group_IT_number 139
_space_group_name_Hall '-I 4 2'
loop_
_atom_site_label
_atom_site_fract_x
_atom_site_fract_y
_atom_site_fract_z
_atom_site_occupancy
Mg1 0.000 0.000 0.000 1
Mg2 0.000 0.500 0.250 1
Cd1 0.000 0.000 0.500 1
# ΔH_f (0 K) = -6.0 kJ/mol of atoms

=====

Computed calculated volume (Å³ per atom) in order:
19.4 21.4
Computed final energy (eV/atom) in order:
-4.840 -1.649